No. 1
VASP calculation (PBE) on crystalline YNbSb2Te at its relaxed geometry.

Results
The energy above the most stable polymorph in this dataset is 0.000 eV per atom. The total magnetization comes out at 0.0 μB per cell. Its space group is P4/mmm, No. 123.

Unit cell a=5.326 b=5.326 c=5.504 alpha=90.00 beta=90.00 gamma=90.00
Positions (direct):
1 Te 0.000 0.000 0.500
2 Sb 0.500 0.000 0.000
3 Sb 0.000 0.500 0.000
4 Nb 0.000 0.000 0.000
5 Y 0.500 0.500 0.500


No. 2
VASP calculation (PBE) on crystalline Co2TcPt at its relaxed geometry.

Results
The energy above the most stable polymorph in this dataset is 0.196 eV per atom. Its formation enthalpy at 0 K is 0.7 eV/f.u. The total magnetization comes out at 3.6 μB per cell. Its space group is P2/m, No. 10.

Unit cell a=4.348 b=2.609 c=4.781 alpha=89.11 beta=90.00 gamma=90.00
Positions (direct):
1 Tc 0.500 0.750 0.750
2 Co 0.000 0.404 0.517
3 Co 0.000 0.096 0.983
4 Pt 0.500 0.250 0.250


No. 3
VASP calculation (PBE) on crystalline NaVAgSn2 at its relaxed geometry.

Results
Its formation enthalpy at 0 K is 4.5 eV/f.u. The total magnetization comes out at 0.3 μB per cell. Its space group is P4/mmm, No. 123.

Unit cell a=5.309 b=5.132 c=5.309 alpha=90.00 beta=90.00 gamma=90.00
Positions (direct):
1 Sn 0.000 0.000 0.500
2 Sn 0.500 0.000 0.000
3 V 0.000 0.500 0.000
4 Ag 0.000 0.000 0.000
5 Na 0.500 0.500 0.500


No. 4
VASP calculation (PBE) on crystalline CrMoPb2 at its relaxed geometry.

Results
The energy above the most stable polymorph in this dataset is 0.371 eV per atom. Its formation enthalpy at 0 K is 3.0 eV/f.u. The total magnetization comes out at 2.5 μB per cell. Its space group is Fm-3m, No. 225.

Unit cell a=4.869 b=4.869 c=4.869 alpha=60.00 beta=60.00 gamma=60.00
Positions (direct):
1 Cr 0.000 0.000 0.000
2 Mo 0.500 0.500 0.500
3 Pb 0.250 0.250 0.250
4 Pb 0.750 0.750 0.750


No. 5
VASP calculation (PBE) on crystalline Co2RhW at its relaxed geometry.

Results
The energy above the most stable polymorph in this dataset is 0.066 eV per atom. Its formation enthalpy at 0 K is 0.0 eV/f.u. The total magnetization comes out at 2.2 μB per cell. Its space group is Pmm2, No. 25.

Unit cell a=2.713 b=3.601 c=5.323 alpha=90.00 beta=90.00 gamma=90.00
Positions (direct):
1 Co 0.500 0.500 0.225
2 Co 0.000 0.000 0.017
3 W 0.500 0.500 0.765
4 Rh 0.000 0.000 0.492


No. 6
VASP calculation (PBE) on crystalline Sc2AlCu at its relaxed geometry.

Results
Its formation enthalpy at 0 K is -0.1 eV/f.u. The total magnetization comes out at 1.4 μB per cell. Its space group is F-43m, No. 216.

Unit cell a=4.692 b=4.692 c=4.692 alpha=60.00 beta=60.00 gamma=60.00
Positions (direct):
1 Sc 0.000 0.000 0.000
2 Sc 0.250 0.250 0.250
3 Al 0.500 0.500 0.500
4 Cu 0.750 0.750 0.750


No. 7
VASP calculation (PBE) on crystalline K3RbI at its relaxed geometry.

Results
The energy above the most stable polymorph in this dataset is 0.000 eV per atom. The total magnetization comes out at 0.0 μB per cell. Its space group is Pm-3m, No. 221.

Unit cell a=7.079 b=7.079 c=7.079 alpha=90.00 beta=90.00 gamma=90.00
Positions (direct):
1 K 0.000 0.500 0.000
2 K 0.000 0.000 0.500
3 K 0.500 0.000 0.000
4 I 0.000 0.000 0.000
5 Rb 0.500 0.500 0.500


No. 8
VASP calculation (PBE) on crystalline Na3ZrRe at its relaxed geometry.

Results
The energy above the most stable polymorph in this dataset is 0.787 eV per atom. Its formation enthalpy at 0 K is 13.8 eV/f.u. The total magnetization comes out at 0.0 μB per cell. Its space group is Pm-3m, No. 221.

Unit cell a=5.209 b=5.209 c=5.209 alpha=90.00 beta=90.00 gamma=90.00
Positions (direct):
1 Zr 0.000 0.000 0.000
2 Re 0.500 0.500 0.500
3 Na 0.500 0.000 0.000
4 Na 0.000 0.500 0.000
5 Na 0.000 0.000 0.500


No. 9
VASP calculation (PBE) on crystalline TbNpOs2 at its relaxed geometry.

Results
Its formation enthalpy at 0 K is 0.0 eV/f.u. The total magnetization comes out at 2.4 μB per cell. Its space group is P4/mmm, No. 123.

Unit cell a=3.307 b=3.307 c=7.211 alpha=90.00 beta=90.00 gamma=90.00
Positions (direct):
1 Tb 0.500 0.500 0.500
2 Os 0.000 0.000 0.774
3 Os 0.000 0.000 0.226
4 Np 0.500 0.500 0.000


No. 10
VASP calculation (PBE) on crystalline InBrCl at its relaxed geometry.

Results
The total magnetization comes out at 0.0 μB per cell. Its space group is P2/m, No. 10.

Unit cell a=4.459 b=7.822 c=8.913 alpha=137.13 beta=90.00 gamma=90.00
Positions (direct):
1 In 0.861 0.632 0.469
2 In 0.861 0.381 0.026
3 Cl 0.861 0.929 0.880
4 Cl 0.861 0.083 0.615
5 Br 0.361 0.400 0.440
6 Br 0.361 0.613 0.055


No. 11
VASP calculation (PBE) on crystalline NdMg2Ga2Pd at its relaxed geometry.

Results
Its formation enthalpy at 0 K is -0.3 eV/f.u. The total magnetization comes out at 0.0 μB per cell. Its space group is I4/mmm, No. 139.

Unit cell a=5.130 b=5.130 c=6.614 alpha=112.82 beta=112.82 gamma=90.00
Positions (direct):
1 Mg 0.250 0.750 0.500
2 Mg 0.750 0.250 0.500
3 Nd 0.500 0.500 0.000
4 Pd 0.000 0.000 0.000
5 Ga 0.216 0.216 0.432
6 Ga 0.784 0.784 0.568


No. 12
VASP calculation (PBE) on crystalline Hf2TiSb4 at its relaxed geometry.

Results
The total magnetization comes out at 0.0 μB per cell. Its space group is C2/m, No. 12.

Unit cell a=3.901 b=6.952 c=7.699 alpha=116.01 beta=104.68 gamma=90.00
Positions (direct):
1 Hf 0.246 0.239 0.492
2 Hf 0.754 0.761 0.508
3 Sb 0.113 0.775 0.226
4 Sb 0.613 0.302 0.227
5 Sb 0.387 0.698 0.773
6 Sb 0.887 0.225 0.774
7 Ti 0.000 0.000 0.000


No. 13
VASP calculation (PBE) on crystalline BSbSe2 at its relaxed geometry.

Results
The energy above the most stable polymorph in this dataset is 0.070 eV per atom. The total magnetization comes out at 0.0 μB per cell. Its space group is P1, No. 1.

Unit cell a=5.843 b=5.960 c=7.349 alpha=67.56 beta=70.75 gamma=75.12
Positions (direct):
1 Se 0.173 0.723 0.631
2 Se 0.065 0.018 0.104
3 Se 0.807 0.522 0.354
4 Se 0.558 0.456 0.927
5 B 0.215 0.631 0.903
6 B 0.974 0.729 0.071
7 Sb 0.729 0.878 0.820
8 Sb 0.646 0.177 0.322


No. 14
VASP calculation (PBE) on crystalline BaMg2As at its relaxed geometry.

Results
Its formation enthalpy at 0 K is -0.9 eV/f.u. The total magnetization comes out at 0.0 μB per cell. Its space group is F-43m, No. 216.

Unit cell a=5.448 b=5.448 c=5.448 alpha=60.00 beta=60.00 gamma=60.00
Positions (direct):
1 Ba 0.750 0.750 0.750
2 Mg 0.000 0.000 0.000
3 Mg 0.250 0.250 0.250
4 As 0.500 0.500 0.500


No. 15
VASP calculation (PBE) on crystalline TbPaRh2 at its relaxed geometry.

Results
The energy above the most stable polymorph in this dataset is 0.000 eV per atom. Its formation enthalpy at 0 K is -3.5 eV/f.u. The total magnetization comes out at 0.0 μB per cell. Its space group is P2_1/m, No. 11.

Unit cell a=4.037 b=5.940 c=7.649 alpha=109.50 beta=90.00 gamma=90.00
Positions (direct):
1 Rh 0.250 0.821 0.233
2 Rh 0.750 0.209 0.320
3 Rh 0.750 0.179 0.767
4 Rh 0.250 0.791 0.680
5 Tb 0.750 0.725 0.936
6 Tb 0.250 0.275 0.064
7 Pa 0.250 0.281 0.571
8 Pa 0.750 0.719 0.429


No. 16
VASP calculation (PBE) on crystalline Nd2Be3SiPt4 at its relaxed geometry.

Results
The total magnetization comes out at 0.0 μB per cell. Its space group is P-4m2, No. 115.

Unit cell a=4.143 b=4.143 c=9.642 alpha=90.00 beta=90.00 gamma=90.00
Positions (direct):
1 Pt 0.500 0.000 0.629
2 Pt 0.000 0.000 0.000
3 Pt 0.000 0.500 0.371
4 Pt 0.500 0.500 0.000
5 Si 0.500 0.500 0.500
6 Be 0.500 0.000 0.879
7 Be 0.000 0.000 0.500
8 Be 0.000 0.500 0.121
9 Nd 0.500 0.000 0.250
10 Nd 0.000 0.500 0.750


No. 17
VASP calculation (PBE) on crystalline LiZrSe at its relaxed geometry.

Results
The energy above the most stable polymorph in this dataset is 0.000 eV per atom. The total magnetization comes out at 0.0 μB per cell. Its space group is P4/nmm, No. 129.

Unit cell a=4.108 b=4.108 c=7.086 alpha=90.00 beta=90.00 gamma=90.00
Positions (direct):
1 Li 0.000 0.500 0.850
2 Li 0.500 0.000 0.150
3 Zr 0.500 0.500 0.500
4 Zr 0.000 0.000 0.500
5 Se 0.500 0.000 0.781
6 Se 0.000 0.500 0.219


No. 18
VASP calculation (PBE) on crystalline MnGaAgIr at its relaxed geometry.

Results
Its formation enthalpy at 0 K is -0.2 eV/f.u. The total magnetization comes out at 4.0 μB per cell. Its space group is F-43m, No. 216.

Unit cell a=4.411 b=4.411 c=4.411 alpha=60.00 beta=60.00 gamma=60.00
Positions (direct):
1 Mn 0.500 0.500 0.500
2 Ga 0.000 0.000 0.000
3 Ag 0.250 0.250 0.250
4 Ir 0.750 0.750 0.750


No. 19
VASP calculation (PBE) on crystalline NaLiV2Ni at its relaxed geometry.

Results
Its formation enthalpy at 0 K is 9.0 eV/f.u. The total magnetization comes out at 6.8 μB per cell. Its space group is P4/mmm, No. 123.

Unit cell a=4.884 b=3.764 c=4.884 alpha=90.00 beta=90.00 gamma=90.00
Positions (direct):
1 Ni 0.500 0.500 0.500
2 V 0.500 0.000 0.000
3 V 0.000 0.000 0.500
4 Na 0.000 0.000 0.000
5 Li 0.000 0.500 0.000


No. 20
VASP calculation (PBE) on crystalline PuSiAs at its relaxed geometry.

Results
The total magnetization comes out at 10.3 μB per cell. Its space group is Cmcm, No. 63.

Unit cell a=4.227 b=3.898 c=7.921 alpha=75.76 beta=90.00 gamma=90.00
Positions (direct):
1 As 0.750 0.320 0.361
2 As 0.250 0.680 0.639
3 Pu 0.750 0.122 0.757
4 Pu 0.250 0.878 0.243
5 Si 0.250 0.530 0.939
6 Si 0.750 0.470 0.061


The following uncorrected energy values (in eV for the cell shown) correspond, in order, to the records above: -27.50, -29.89, -16.82, -24.86, -34.56, -20.64, -8.31, -11.14, -40.02, -17.43, -19.50, -46.81, -35.61, -10.62, -64.62, -59.58, -33.36, -24.14, -18.27, -52.25.